! Na2CdFeCl6, optimized geometry, DFT GGA-PBE; values from VASP
&SYSTEM
  ibrav = 0, nat = 10, ntyp = 4
/
ATOMIC_SPECIES
Na 22.99 Na.upf
Cd 112.41 Cd.upf
Fe 55.84 Fe.upf
Cl 35.45 Cl.upf
CELL_PARAMETERS angstrom
3.401 1.964 5.924
-3.401 1.964 5.924
0.000 -3.927 5.924
ATOMIC_POSITIONS crystal
Na 0.000 0.000 0.000
Na 0.496 0.496 0.496
Cd 0.205 0.205 0.205
Fe 0.703 0.703 0.703
Cl 0.056 0.447 0.823
Cl 0.340 0.923 0.579
Cl 0.447 0.823 0.056
Cl 0.579 0.340 0.923
Cl 0.823 0.056 0.447
Cl 0.923 0.579 0.340
! Magnetization = 4.000 μB/cell
! SG = R3, No. 146
! Formation energy (no corrections) = -117 kJ per mole of atoms
! Fermi-level density of states = 6.16 states/eV/cell

---

! Cd2FeNiCl, optimized geometry, DFT GGA-PBE; values from VASP
&SYSTEM
  ibrav = 0, nat = 5, ntyp = 4
/
ATOMIC_SPECIES
Cd 112.41 Cd.upf
Fe 55.84 Fe.upf
Ni 58.69 Ni.upf
Cl 35.45 Cl.upf
CELL_PARAMETERS angstrom
5.214 0.000 0.000
0.000 5.214 0.000
0.000 0.000 4.146
ATOMIC_POSITIONS crystal
Cd 0.000 0.500 0.000
Cd 0.500 0.000 0.000
Fe 0.000 0.000 0.000
Ni 0.500 0.500 0.500
Cl 0.000 0.000 0.500
! Magnetization = 2.251 μB/cell
! SG = P4/mmm, No. 123
! Formation energy (no corrections) = 71 kJ per mole of atoms
! Fermi-level density of states = 7.47 states/eV/cell